Here is an optimized crystal structure of LaErPb from the Open Quantum Materials Database. Energies are from PBE.

Values from the calculation:
**Symmetry**: F-43m (216)

Lattice parameters (Å, degrees): 5.379 5.379 5.379 60.00 60.00 60.00
Atoms (fractional coordinates):
Pb (0.750, 0.750, 0.750)
Er (0.250, 0.250, 0.250)
La (0.000, 0.000, 0.000)

---

Here is an optimized crystal structure of TmZrAl2Pd4 from the Open Quantum Materials Database. Energies are from PBE.

Values from the calculation:
**Symmetry**: P-6m2 (187)

Lattice parameters (Å, degrees): 4.324 4.324 8.855 90.00 90.00 120.00
Atoms (fractional coordinates):
Al (0.667, 0.333, 0.741)
Pd (0.000, 0.000, 0.339)
Pd (0.000, 0.000, 0.661)
Pd (0.333, 0.667, 0.828)
Tm (0.000, 0.000, 0.000)
Zr (0.333, 0.667, 0.500)
Al (0.667, 0.333, 0.259)
Pd (0.333, 0.667, 0.172)

---

Here is an optimized crystal structure of Nb2InPd from the Open Quantum Materials Database. Energies are from PBE.

Values from the calculation:
**Symmetry**: F-43m (216)

Lattice parameters (Å, degrees): 4.689 4.689 4.689 60.00 60.00 60.00
Atoms (fractional coordinates):
Pd (0.250, 0.250, 0.250)
Nb (0.000, 0.000, 0.000)
Nb (0.750, 0.750, 0.750)
In (0.500, 0.500, 0.500)

---

Here is an optimized crystal structure of CsZrAg3Se4 from the Open Quantum Materials Database. Energies are from PBE.

Values from the calculation:
**Symmetry**: P-43m (215)

Lattice parameters (Å, degrees): 6.643 6.643 6.643 90.00 90.00 90.00
Atoms (fractional coordinates):
Se (0.720, 0.720, 0.280)
Se (0.720, 0.280, 0.720)
Cs (0.000, 0.000, 0.000)
Zr (0.500, 0.500, 0.500)
Se (0.280, 0.280, 0.280)
Ag (0.500, 0.500, 0.000)
Ag (0.000, 0.500, 0.500)
Ag (0.500, 0.000, 0.500)
Se (0.280, 0.720, 0.720)

---

Here is an optimized crystal structure of Sm5YSe6 from the Open Quantum Materials Database. Energies are from PBE.

Values from the calculation:
**Symmetry**: C2/m (12)

Lattice parameters (Å, degrees): 7.206 7.206 7.178 99.64 99.64 120.12
Atoms (fractional coordinates):
Sm (0.830, 0.170, 0.500)
Sm (0.333, 0.667, 0.000)
Y (0.000, 0.000, 0.000)
Se (0.755, 0.755, 0.249)
Sm (0.170, 0.830, 0.500)
Se (0.410, 0.082, 0.246)
Sm (0.667, 0.333, 0.000)
Sm (0.500, 0.500, 0.500)
Se (0.082, 0.410, 0.246)
Se (0.245, 0.245, 0.751)
Se (0.918, 0.590, 0.754)
Se (0.590, 0.918, 0.754)

---

Here is an optimized crystal structure of ZrNbPb from the Open Quantum Materials Database. Energies are from PBE.

Values from the calculation:
**Symmetry**: F-43m (216)
**Energy above the most stable polymorph in this dataset**: 0 meV per atom

Lattice parameters (Å, degrees): 4.807 4.807 4.807 60.00 60.00 60.00
Atoms (fractional coordinates):
Nb (0.000, 0.000, 0.000)
Zr (0.750, 0.750, 0.750)
Pb (0.250, 0.250, 0.250)

---

Here is an optimized crystal structure of KAlNi from the Open Quantum Materials Database. Energies are from PBE.

Values from the calculation:
**Symmetry**: F-43m (216)
**Energy above the most stable polymorph in this dataset**: 692 meV per atom

Lattice parameters (Å, degrees): 4.949 4.949 4.949 60.00 60.00 60.00
Atoms (fractional coordinates):
Ni (0.750, 0.750, 0.750)
Al (0.250, 0.250, 0.250)
K (0.000, 0.000, 0.000)

---

Here is an optimized crystal structure of TmLuCSe from the Open Quantum Materials Database. Energies are from PBE.

Values from the calculation:
**Symmetry**: P-3m1 (164)

Lattice parameters (Å, degrees): 3.682 3.682 12.994 90.00 90.00 120.00
Atoms (fractional coordinates):
Tm (0.333, 0.667, 0.400)
Se (0.333, 0.667, 0.752)
Lu (0.667, 0.333, 0.902)
Tm (0.667, 0.333, 0.600)
C (0.000, 0.000, 0.500)
C (0.000, 0.000, 0.000)
Lu (0.333, 0.667, 0.098)
Se (0.667, 0.333, 0.248)

---

Here is an optimized crystal structure of HoSiPO from the Open Quantum Materials Database. Energies are from PBE.

Values from the calculation:
**Symmetry**: P4/nmm (129)
**Energy above the most stable polymorph in this dataset**: 60 meV per atom

Lattice parameters (Å, degrees): 4.230 4.230 7.115 90.00 90.00 90.00
Atoms (fractional coordinates):
O (0.000, 0.000, 0.000)
P (0.000, 0.500, 0.647)
Si (0.500, 0.500, 0.500)
Ho (0.000, 0.500, 0.124)
Si (0.000, 0.000, 0.500)
O (0.500, 0.500, 0.000)
Ho (0.500, 0.000, 0.876)
P (0.500, 0.000, 0.353)

---

Here is an optimized crystal structure of SrPd from the Open Quantum Materials Database. Energies are from PBE.

Values from the calculation:
**Symmetry**: P-6m2 (187)

Lattice parameters (Å, degrees): 4.103 4.103 3.924 90.00 90.00 120.00
Atoms (fractional coordinates):
Sr (0.333, 0.667, 0.250)
Pd (0.667, 0.333, 0.750)

---

Here is an optimized crystal structure of Na2HfZrGa2Ni2 from the Open Quantum Materials Database. Energies are from PBE.

Values from the calculation:
**Symmetry**: P-4m2 (115)

Lattice parameters (Å, degrees): 4.477 4.477 6.333 90.00 90.00 90.00
Atoms (fractional coordinates):
Ga (0.500, 0.500, 0.000)
Ni (0.000, 0.500, 0.752)
Zr (0.500, 0.500, 0.500)
Na (0.000, 0.500, 0.250)
Ni (0.500, 0.000, 0.248)
Na (0.500, 0.000, 0.750)
Ga (0.000, 0.000, 0.500)
Hf (0.000, 0.000, 0.000)

---

Here is an optimized crystal structure of DyNi2Ir2 from the Open Quantum Materials Database. Energies are from PBE.

Values from the calculation:
**Symmetry**: I4/mmm (139)
**Energy of formation from the pure elements**: -0.23 eV/atom

Lattice parameters (Å, degrees): 5.994 5.994 5.994 142.42 142.42 54.20
Atoms (fractional coordinates):
Ni (0.395, 0.395, 0.000)
Dy (0.000, 0.000, 0.000)
Ir (0.250, 0.750, 0.500)
Ni (0.605, 0.605, 0.000)
Ir (0.750, 0.250, 0.500)

---

Here is an optimized crystal structure of BaAgTeO from the Open Quantum Materials Database. Energies are from PBE.

Values from the calculation:
**Symmetry**: P2_12_12_1 (19)

Lattice parameters (Å, degrees): 7.251 7.341 7.685 90.00 90.00 90.00
Atoms (fractional coordinates):
Ba (0.365, 0.871, 0.367)
Ba (0.635, 0.371, 0.133)
Te (0.852, 0.849, 0.166)
Te (0.352, 0.651, 0.834)
Ag (0.924, 0.073, 0.441)
Ba (0.135, 0.129, 0.867)
O (0.394, 0.104, 0.108)
Ag (0.076, 0.573, 0.059)
O (0.106, 0.896, 0.608)
Te (0.148, 0.349, 0.334)
O (0.606, 0.604, 0.392)
Te (0.648, 0.151, 0.666)
Ag (0.424, 0.427, 0.559)
Ba (0.865, 0.629, 0.633)
Ag (0.576, 0.927, 0.941)
O (0.894, 0.396, 0.892)

---

Here is an optimized crystal structure of In7IrOsO8 from the Open Quantum Materials Database. Energies are from PBE.

Values from the calculation:
**Symmetry**: F-43m (216)

Lattice parameters (Å, degrees): 7.276 7.276 7.276 60.00 60.00 60.00
Atoms (fractional coordinates):
Os (0.750, 0.750, 0.750)
O (0.642, 0.073, 0.642)
In (0.250, 0.250, 0.750)
In (0.750, 0.250, 0.250)
O (0.893, 0.369, 0.369)
In (0.250, 0.750, 0.750)
O (0.369, 0.369, 0.893)
In (0.750, 0.250, 0.750)
In (0.250, 0.250, 0.250)
Ir (0.000, 0.000, 0.000)
O (0.369, 0.369, 0.369)
O (0.073, 0.642, 0.642)
O (0.642, 0.642, 0.073)
O (0.369, 0.893, 0.369)
In (0.750, 0.750, 0.250)
O (0.642, 0.642, 0.642)
In (0.250, 0.750, 0.250)

---

Here is an optimized crystal structure of LiZr2W from the Open Quantum Materials Database. Energies are from PBE.

Values from the calculation:
**Symmetry**: F-43m (216)

Lattice parameters (Å, degrees): 4.706 4.706 4.706 60.00 60.00 60.00
Atoms (fractional coordinates):
Zr (0.000, 0.000, 0.000)
Li (0.500, 0.500, 0.500)
Zr (0.750, 0.750, 0.750)
W (0.250, 0.250, 0.250)

---

Number 1: VASP energy -4.10 eV per atom. Number 2: VASP energy -6.04 eV per atom. Number 3: VASP energy -6.93 eV per atom. Number 4: VASP energy -4.26 eV per atom. Number 5: VASP energy -6.06 eV per atom. Number 6: VASP energy -6.68 eV per atom. Number 7: VASP energy -2.11 eV per atom. Number 8: VASP energy -6.62 eV per atom. Number 9: VASP energy -6.54 eV per atom. Number 10: VASP energy -3.79 eV per atom. Number 11: VASP energy -4.83 eV per atom. Number 12: VASP energy -6.92 eV per atom. Number 13: VASP energy -4.35 eV per atom. Number 14: VASP energy -5.66 eV per atom. Number 15: VASP energy -7.53 eV per atom.